[1]
Compound: ZrHg3W
Source: Alexandria
Functional: SCAN
Structure: PBEsol geometry

abc: 5.3311 5.3311 5.3311
angles: 90.00 90.00 90.00
Closest atoms and distances in Å follow each position.
Space group Pm-3m (No. 221)
Symmetry-distinct sites (fractional):
Zr 0.0000 0.0000 0.0000 [1 per cell]  6 Hg 2.67
Hg 0.0000 0.0000 0.5000 [3 per cell]  2 Zr 2.67
W 0.5000 0.5000 0.5000 [1 per cell]  12 Hg 3.77

Values from the calculation:
magnetic moment = 4.3 Bohr magnetons per cell
formation energy from the elements = 1.778 eV/atom
VASP energy = -2.17550 hartree per atom
DOS(E_F) = 4.0 states/eV/f.u.

***

[2]
Compound: In3FeSi
Source: Alexandria
Functional: SCAN
Structure: PBEsol geometry

abc: 5.0713 5.0713 5.0713
angles: 90.00 90.00 90.00
Closest atoms and distances in Å follow each position.
Space group Pm-3m (No. 221)
Symmetry-distinct sites (fractional):
In 0.0000 0.0000 0.5000 [3 per cell]  2 Si 2.54
Fe 0.5000 0.5000 0.5000 [1 per cell]  12 In 3.59
Si 0.0000 0.0000 0.0000 [1 per cell]  6 In 2.54

Values from the calculation:
magnetic moment = 3.1 Bohr magnetons per cell
formation energy from raw total energies = 1.01 eV/atom
VASP energy = -0.90585 hartree per atom
DOS(E_F) = 6.8 states/eV/f.u.

***

[3]
Compound: Li5PS4Cl2
Source: Alexandria
Functional: SCAN
Structure: PBEsol geometry

abc: 7.1319 10.2602 5.9192
angles: 90.00 90.00 90.00
Closest atoms and distances in Å follow each position.
Space group Amm2 (No. 38)
Symmetry-distinct sites (fractional):
Li 0.0000 0.0000 0.0000 [2 per cell]  2 Cl 2.29, 2 S 2.43
Li 0.2533 0.1944 0.4878 [8 per cell]  1 Cl 2.36, 2 S 2.49-2.51
P 0.5000 0.0000 0.9465 [2 per cell]  4 S 2.05-2.06
S 0.2662 0.0000 0.7440 [4 per cell]  1 P 2.05
S 0.5000 0.1620 0.1518 [4 per cell]  1 P 2.06
Cl 0.0000 0.1788 0.2316 [4 per cell]  3 Li 2.29-2.36

Values from the calculation:
magnetic moment = 0.0 Bohr magnetons per cell
formation energy from raw total energies = -1.39 eV/atom
VASP energy = -0.28626 hartree per atom
DOS(E_F) = 0.0 states/eV/f.u.

***

[4]
Compound: YMgP2
Source: Alexandria
Functional: SCAN
Structure: PBEsol geometry

abc: 4.1101 5.3753 7.0363
angles: 90.00 90.00 90.00
Closest atoms and distances in Å follow each position.
Space group Cmmm (No. 65)
Symmetry-distinct sites (fractional):
Y 0.0000 0.0000 0.0000 [2 per cell]  4 P 2.73
Mg 0.0000 0.0000 0.5000 [2 per cell]  4 P 2.68
P 0.0000 0.5000 0.2559 [4 per cell]  2 Mg 2.68, 2 Y 2.73

Values from the calculation:
magnetic moment = 0.0 Bohr magnetons per cell
formation energy from the elements = -0.755 eV/atom
VASP energy = -0.52032 hartree per atom
DOS(E_F) = 1.1 states/eV/f.u.